(1)
Computed, not measured: crystalline Ce2NdTlN at its relaxed geometry at the GGA-PBE level of DFT.

Values from the calculation:
Formation energy without anion corrections = -0.77 eV per atom
Uncorrected energy = -6.234 eV/atom
Space-group type = No. 123
ρ = 8.70 g/cm³

extended XYZ file:
```
5
Lattice="4.8922 0.0000 0.0000 0.0000 4.8922 0.0000 0.0000 0.0000 5.1242" Properties=species:S:1:pos:R:3 pbc="T T T"
Ce 0.0000 2.4461 0.0000
Ce 2.4461 0.0000 0.0000
Nd 0.0000 0.0000 2.5621
Tl 2.4461 2.4461 2.5621
N 0.0000 0.0000 0.0000
```


(2)
Computed, not measured: crystalline Ce2Nd3UN6 at its relaxed geometry at the GGA-PBE level of DFT.

Values from the calculation:
Formation energy without anion corrections = -1.46 eV per atom
Uncorrected energy = -8.749 eV/atom
Space-group type = No. 12
ρ = 8.87 g/cm³

extended XYZ file:
```
12
Lattice="3.0955 -5.3562 0.0000 3.0955 5.3562 0.0000 -2.0607 0.0000 5.8425" Properties=species:S:1:pos:R:3 pbc="T T T"
Ce 3.0955 3.5749 0.0000
Ce 3.0955 -3.5749 0.0000
Nd -1.0303 0.0000 2.9213
Nd 2.0651 1.7968 2.9213
Nd 2.0651 -1.7968 2.9213
U 3.0955 0.0000 0.0000
N 0.0750 1.6593 4.5645
N 1.1738 0.0000 1.2982
N 0.0750 -1.6593 4.5645
N 4.0553 1.6593 1.2780
N 2.9565 0.0000 4.5443
N 4.0553 -1.6593 1.2780
```


(3)
Computed, not measured: crystalline Ce3Nd2UN6 at its relaxed geometry at the GGA-PBE level of DFT.

Values from the calculation:
Formation energy without anion corrections = -1.47 eV per atom
Uncorrected energy = -8.848 eV/atom
Space-group type = No. 12
ρ = 8.91 g/cm³

extended XYZ file:
```
12
Lattice="3.0894 -5.3392 0.0000 3.0894 5.3392 0.0000 -2.0581 0.0000 5.8250" Properties=species:S:1:pos:R:3 pbc="T T T"
Ce 0.0000 0.0000 0.0000
Ce 3.0894 1.7926 0.0000
Ce 3.0894 -1.7926 0.0000
Nd 2.0603 3.5604 2.9125
Nd 2.0603 -3.5604 2.9125
U 2.0603 0.0000 2.9125
N 1.1380 1.5876 1.5218
N 0.2078 0.0000 4.3397
N 1.1380 -1.5876 1.5218
N 2.9826 1.5876 4.3031
N 3.9129 0.0000 1.4852
N 2.9826 -1.5876 4.3031
```